An optimized crystal structure of MnCd2CoO, computed with GGA+U.

Space-group type: No. 123
Calculated total energy (eV/atom): -2.944

```
MnCd2CoO
1.0
4.948 0.000 0.000
0.000 4.917 0.000
0.000 0.000 4.948
Cd O Co Mn
2 1 1 1
Direct
0.500 0.000 0.000 Cd
0.000 0.000 0.500 Cd
0.500 0.500 0.500 O
0.000 0.000 0.000 Co
0.000 0.500 0.000 Mn
```